Entry 1:
5
Lattice="-1.0638 1.1598 -3.6612 3.4900 -1.2937 -1.4239 -1.5102 -3.3789 -0.6315" Properties=species:S:1:pos:R:3 comment="TcSN2O, relaxed, DFT PBE" e_form_raw_ev_per_atom=0.8603 sg="No. 123" pbc="T T T"
S 0.4580 -1.7564 -2.8583
Tc 0.0000 0.0000 0.0000
O -0.7551 -1.6895 -0.3158
N 1.7450 -0.6469 -0.7119
N -0.5319 0.5799 -1.8306


Entry 2:
6
Lattice="-4.3767 3.2524 0.8499 -5.0917 -1.9421 -0.8710 -3.3581 -0.9538 4.2742" Properties=species:S:1:pos:R:3 comment="LiAg2, relaxed, DFT PBE" ef_mev_per_atom=-86 sg="No. 227" pbc="T T T"
Ag -5.8282 -1.4034 2.2332
Ag -5.4707 1.1939 3.0937
Ag -8.0165 0.2228 2.6582
Ag -6.3375 0.6997 0.5211
Li 0.0000 0.0000 0.0000
Li -3.2066 0.0891 1.0633


Entry 3:
8
Lattice="-2.0568 6.0546 -1.6283 -2.0035 0.9891 6.2087 1.9463 5.1481 3.3143" Properties=species:S:1:pos:R:3 comment="KB2W, relaxed, DFT PBE" ef_mev_per_atom=991 sg="No. 122" pbc="T T T"
K -2.0302 3.5219 2.2902
K -1.0437 4.8296 5.9066
B -1.3911 6.2009 0.3164
B -2.7377 7.7106 3.1477
B 0.2701 6.3381 3.1717
B -0.4224 9.1996 1.3165
W 0.0000 0.0000 0.0000
W -1.0703 7.3623 1.9881


Entry 4:
14
Lattice="4.5898 0.0000 0.0000 2.2949 8.2990 0.3378 2.2949 2.5845 7.8935" Properties=species:S:1:pos:R:3 comment="Pr3In3Pd8, relaxed, DFT PBE" ef_mev_per_atom=-613 sg="No. 71" pbc="T T T"
Pr 4.5898 5.4417 4.1157
Pr 4.5898 2.2622 1.7109
Pr 4.5898 8.6213 6.5204
In 2.2949 0.0000 0.0000
In 2.2949 6.9667 2.0994
In 2.2949 3.9168 6.1319
Pd 4.5898 2.5407 5.2444
Pd 4.5898 8.3428 2.9870
Pd 4.5898 5.7380 1.0169
Pd 4.5898 5.1455 7.2145
Pd 6.8847 8.2835 4.5081
Pd 2.2949 2.6000 3.7232
Pd 6.8847 6.5931 6.7432
Pd 2.2949 4.2904 1.4881


Entry 5:
7
Lattice="5.5847 0.0000 0.0000 0.0000 5.5847 0.0000 -2.7924 -2.7924 9.4818" Properties=species:S:1:pos:R:3 comment="Ac4Eu2C, relaxed, DFT PBE" ef_mev_per_atom=225 sg="No. 139" pbc="T T T"
Eu 2.7924 2.7924 3.0872
Eu 0.0000 0.0000 6.3946
Ac 2.7924 2.7924 6.9247
Ac 0.0000 0.0000 2.5571
Ac 0.0000 2.7924 0.0000
Ac 2.7924 0.0000 0.0000
C 0.0000 0.0000 0.0000


Entry 6:
5
Lattice="4.8597 0.0000 0.0000 0.0000 4.9086 0.0000 0.0000 0.0000 4.8597" Properties=species:S:1:pos:R:3 comment="TlVIr2Os, relaxed, DFT PBE" ef_mev_per_atom=2855 sg="No. 123" pbc="T T T"
Tl 0.0000 0.0000 0.0000
Ir 0.0000 0.0000 2.4299
Ir 2.4299 0.0000 0.0000
Os 0.0000 2.4543 0.0000
V 2.4299 2.4543 2.4299


Entry 7:
6
Lattice="-0.9089 0.1526 2.9644 4.4397 0.1531 1.3534 0.3428 6.3274 -1.8417" Properties=species:S:1:pos:R:3 comment="TiVMo, relaxed, DFT PBE" ef_mev_per_atom=-39 sg="No. 63" pbc="T T T"
Mo 3.2746 3.2718 0.8382
Mo 0.5989 3.3614 1.6379
Ti 2.7813 5.5540 2.1980
Ti 1.0922 1.0791 0.2781
V 1.0188 5.2359 0.0486
V 2.8547 1.3972 2.4275


Entry 8:
12
Lattice="6.2381 -0.0097 0.0080 -3.1259 5.3984 0.0080 -1.0699 -1.8524 11.6489" Properties=species:S:1:pos:R:3 comment="Tb3Nd6Dy2Tl, relaxed, DFT PBE" ef_mev_per_atom=-12 sg="No. 12" pbc="T T T"
Tb -2.0894 3.5646 5.8324
Tb 4.1317 -0.0283 5.8324
Tb 1.0212 1.7681 5.8324
Nd 3.0771 1.7819 8.7773
Nd 2.0826 3.6059 2.9144
Nd -1.0348 1.7544 2.8875
Nd 0.0056 3.5558 8.7773
Nd -0.0402 -0.0696 8.7504
Nd 2.0367 -0.0196 2.8875
Dy 0.0007 3.5926 0.0080
Dy 3.1115 1.7961 0.0080
Tl 0.0000 0.0000 0.0000


Entry 9:
4
Lattice="-2.2804 -0.0606 2.2996 -0.6322 -4.5414 -0.7466 3.1405 -0.9451 3.0894" Properties=species:S:1:pos:R:3 comment="Ta2MoW, relaxed, DFT PBE" ef_mev_per_atom=-91 sg="No. 47" pbc="T T T"
Mo 1.2541 -2.7432 1.1714
W 0.4300 -0.5028 2.6945
Ta 0.0000 0.0000 0.0000
Ta -1.4563 -2.3010 0.7765


Entry 10:
16
Lattice="-3.6091 2.2107 3.5948 2.5719 -6.0180 6.2830 3.8075 3.4215 1.7186" Properties=species:S:1:pos:R:3 comment="Ta3Cr, relaxed, DFT PBE" ef_mev_per_atom=182 sg="No. 62" pbc="T T T"
Cr -1.3707 1.7879 5.5486
Cr 3.1576 -0.3304 8.2160
Cr -0.3875 -0.0555 3.3804
Cr 4.1409 -2.1737 6.0479
Ta 3.8588 1.5135 3.1451
Ta 1.6062 -2.2050 7.0555
Ta 1.1640 1.8189 4.5407
Ta -1.0884 -1.8994 8.4513
Ta 0.6570 1.5576 1.6364
Ta 4.7937 -2.2617 8.5580
Ta -0.9000 -0.7533 5.7833
Ta 0.9896 0.6857 7.2151
Ta 2.1132 -1.9435 9.9601
Ta -2.0236 1.8758 3.0385
Ta 3.6700 0.3675 5.8131
Ta 1.7805 -1.0715 4.3813


Entry 11:
5
Lattice="-2.3418 -2.8649 2.8608 -1.8367 -2.1935 -3.7001 3.6081 -2.9760 -0.0268" Properties=species:S:1:pos:R:3 comment="SrMnS3, relaxed, DFT PBE" e_form_raw_ev_per_atom=-0.9739 sg="No. 221" pbc="T T T"
Sr -0.2852 -4.0172 -0.4331
S -0.9184 -1.0967 -1.8501
S 1.8040 -1.4880 -0.0134
S -1.1709 -1.4324 1.4304
Mn 0.0000 0.0000 0.0000


Entry 12:
5
Lattice="-2.7438 3.2598 2.2420 -3.6977 -3.0833 -0.0423 1.4072 -1.7459 4.2606" Properties=species:S:1:pos:R:3 comment="CsTc3As, relaxed, DFT PBE" ef_mev_per_atom=1472 sg="No. 221" pbc="T T T"
Cs -2.5172 -0.7847 3.2302
As 0.0000 0.0000 0.0000
Tc -1.8488 -1.5416 -0.0211
Tc 0.7036 -0.8730 2.1303
Tc -1.3719 1.6299 1.1210


Number 1: volume 11.93 A^3/atom, DOS at the Fermi energy 4.18 states/eV/cell. Number 2: volume 19.81 A^3/atom, DOS at the Fermi energy 0.70 states/eV/cell. Number 3: volume 24.04 A^3/atom, DOS at the Fermi energy 3.66 states/eV/cell. Number 4: volume 21.19 A^3/atom, DOS at the Fermi energy 6.81 states/eV/cell. Number 5: volume 42.25 A^3/atom, DOS at the Fermi energy 27.87 states/eV/cell. Number 6: volume 23.19 A^3/atom, DOS at the Fermi energy 9.12 states/eV/cell. Number 7: volume 15.41 A^3/atom, DOS at the Fermi energy 9.17 states/eV/cell. Number 8: volume 32.68 A^3/atom, DOS at the Fermi energy 13.88 states/eV/cell. Number 9: volume 16.95 A^3/atom, DOS at the Fermi energy 2.91 states/eV/cell. Number 10: volume 17.00 A^3/atom, DOS at the Fermi energy 14.56 states/eV/cell. Number 11: volume 20.46 A^3/atom, DOS at the Fermi energy 2.63 states/eV/cell. Number 12: volume 22.32 A^3/atom, DOS at the Fermi energy 5.87 states/eV/cell.